Record 1
Computed, not measured: crystalline Ti2BiCl at its relaxed geometry at the PBEsol level of DFT.

Results
Total energy, eV/cell: -45.62
D(E_F), states/eV per cell: 10.17
Total moment, μB/cell: 0.00

Unit cell a=4.9815 b=4.9815 c=8.2344 alpha=107.61 beta=107.61 gamma=90.00
Sites, in units of the cell vectors:
Ti: 0.6250 0.5174 0.7500
Ti: 0.4826 0.8750 0.2500
Ti: 0.7674 0.3750 0.2500
Ti: 0.1250 0.2326 0.7500
Bi: 0.0000 0.0000 0.0000
Bi: 0.2500 0.7500 0.5000
Cl: 0.5000 0.5000 0.0000
Cl: 0.7500 0.2500 0.5000

Record 2
Computed, not measured: crystalline CuBS2N at its relaxed geometry at the PBEsol level of DFT.

Results
Total energy, eV/cell: -26.62
D(E_F), states/eV per cell: 3.42
Total moment, μB/cell: 0.00

Unit cell a=2.6786 b=4.8032 c=4.8032 alpha=90.00 beta=90.00 gamma=90.00
Sites, in units of the cell vectors:
B: 0.0000 0.0000 0.0000
Cu: 0.5000 0.5000 0.5000
S: 0.0000 0.5000 0.0000
S: 0.0000 0.0000 0.5000
N: 0.5000 0.0000 0.0000

Record 3
Computed, not measured: crystalline CeYGa2Pd4 at its relaxed geometry at the PBEsol level of DFT.

Results
D(E_F), states/eV per cell: 11.22
Total moment, μB/cell: 0.44
Formation enthalpy at 0 K, eV per atom: -0.8498

Unit cell a=5.5918 b=7.0251 c=7.3095 alpha=90.00 beta=90.00 gamma=90.00
Sites, in units of the cell vectors:
Ga: 0.4000 0.5000 0.8870
Ga: 0.8988 0.0000 0.6151
Ga: 0.1012 0.0000 0.1151
Ga: 0.6000 0.5000 0.3870
Pd: 0.1659 0.8010 0.8155
Pd: 0.8341 0.8010 0.3155
Pd: 0.6668 0.3021 0.6836
Pd: 0.3332 0.3021 0.1836
Pd: 0.1659 0.1990 0.8155
Pd: 0.3332 0.6979 0.1836
Pd: 0.6668 0.6979 0.6836
Pd: 0.8341 0.1990 0.3155
Ce: 0.1032 0.5000 0.5328
Ce: 0.8968 0.5000 0.0328
Y: 0.6004 0.0000 0.9670
Y: 0.3996 0.0000 0.4670

Record 4
Computed, not measured: crystalline Ta2PIr at its relaxed geometry at the PBEsol level of DFT.

Results
D(E_F), states/eV per cell: 3.77
Total moment, μB/cell: 0.00
Formation enthalpy at 0 K, eV per atom: -0.3269

Unit cell a=2.8400 b=4.6508 c=4.6508 alpha=90.00 beta=90.00 gamma=90.00
Sites, in units of the cell vectors:
P: 0.5000 0.0000 0.0000
Ta: 0.0000 0.0000 0.5000
Ta: 0.0000 0.5000 0.0000
Ir: 0.5000 0.5000 0.5000

Record 5
Computed, not measured: crystalline Zr3W at its relaxed geometry at the PBEsol level of DFT.

Results
D(E_F), states/eV per cell: 7.03
Total moment, μB/cell: 0.00
Formation enthalpy at 0 K, eV per atom: 0.1662

Unit cell a=4.8098 b=4.8098 c=4.8098 alpha=60.00 beta=60.00 gamma=60.00
Sites, in units of the cell vectors:
Zr: 0.2500 0.2500 0.2500
Zr: 0.5000 0.5000 0.5000
Zr: 0.7500 0.7500 0.7500
W: 0.0000 0.0000 0.0000

Record 6
Computed, not measured: crystalline SbTe2Pb at its relaxed geometry at the PBEsol level of DFT.

Results
Total energy, eV/cell: -16.21
D(E_F), states/eV per cell: 2.73
Total moment, μB/cell: 0.00

Unit cell a=4.4961 b=4.4961 c=6.3006 alpha=90.00 beta=90.00 gamma=90.00
Sites, in units of the cell vectors:
Pb: 0.0000 0.0000 0.0000
Sb: 0.5000 0.5000 0.5000
Te: 0.0000 0.0000 0.5000
Te: 0.5000 0.5000 0.0000

Record 7
Computed, not measured: crystalline ReOs at its relaxed geometry at the PBEsol level of DFT.

Results
D(E_F), states/eV per cell: 5.44
Total moment, μB/cell: 0.00
Formation enthalpy at 0 K, eV per atom: -0.0873

Unit cell a=4.3568 b=4.7496 c=5.4925 alpha=90.00 beta=90.00 gamma=90.00
Sites, in units of the cell vectors:
Re: 0.7500 0.4161 0.1242
Re: 0.2500 0.5839 0.8758
Re: 0.2500 0.0839 0.6242
Re: 0.7500 0.9161 0.3758
Os: 0.2500 0.5834 0.3741
Os: 0.2500 0.0834 0.1259
Os: 0.7500 0.9166 0.8741
Os: 0.7500 0.4166 0.6259

Record 8
Computed, not measured: crystalline K2ZnSnRh at its relaxed geometry at the PBEsol level of DFT.

Results
D(E_F), states/eV per cell: 5.85
Total moment, μB/cell: 0.34
Formation enthalpy at 0 K, eV per atom: 0.6712

Unit cell a=4.7421 b=5.7087 c=5.7087 alpha=90.00 beta=90.00 gamma=90.00
Sites, in units of the cell vectors:
Sn: 0.5000 0.5000 0.5000
Rh: 0.0000 0.0000 0.0000
K: 0.0000 0.0000 0.5000
K: 0.0000 0.5000 0.0000
Zn: 0.5000 0.0000 0.0000

Record 9
Computed, not measured: crystalline Ni2HgSb at its relaxed geometry at the PBEsol level of DFT.

Results
Total energy, eV/cell: -16.98
D(E_F), states/eV per cell: 2.23
Total moment, μB/cell: 0.00

Unit cell a=3.0172 b=4.1028 c=5.8787 alpha=110.42 beta=104.87 gamma=90.00
Sites, in units of the cell vectors:
Ni: 0.7594 0.2594 0.5187
Ni: 0.0529 0.0529 0.1057
Hg: 0.2274 0.7274 0.4548
Sb: 0.4604 0.4604 0.9208

Record 10
Computed, not measured: crystalline BeAlIn2 at its relaxed geometry at the PBEsol level of DFT.

Results
D(E_F), states/eV per cell: 2.01
Total moment, μB/cell: 0.00
Formation enthalpy at 0 K, eV per atom: 0.3918

Unit cell a=4.4327 b=4.4327 c=8.9699 alpha=104.31 beta=104.31 gamma=90.00
Sites, in units of the cell vectors:
Al: 0.2500 0.7500 0.5000
Al: 0.0000 0.0000 0.0000
In: 0.8438 0.3750 0.2500
In: 0.1250 0.1562 0.7500
In: 0.4062 0.8750 0.2500
In: 0.6250 0.5938 0.7500
Be: 0.7500 0.2500 0.5000
Be: 0.5000 0.5000 0.0000

Record 11
Computed, not measured: crystalline AgTe2HPt at its relaxed geometry at the PBEsol level of DFT.

Results
Total energy, eV/cell: -13.79
D(E_F), states/eV per cell: 4.97
Total moment, μB/cell: 0.90

Unit cell a=5.0062 b=5.2160 c=5.2160 alpha=90.00 beta=90.00 gamma=90.00
Sites, in units of the cell vectors:
Pt: 0.5000 0.0000 0.0000
H: 0.5000 0.5000 0.5000
Ag: 0.0000 0.0000 0.0000
Te: 0.0000 0.0000 0.5000
Te: 0.0000 0.5000 0.0000

Record 12
Computed, not measured: crystalline TaRu2Au at its relaxed geometry at the PBEsol level of DFT.

Results
D(E_F), states/eV per cell: 3.11
Total moment, μB/cell: 0.00
Formation enthalpy at 0 K, eV per atom: 0.0248

Unit cell a=2.8809 b=4.6567 c=4.8300 alpha=100.78 beta=107.35 gamma=90.00
Sites, in units of the cell vectors:
Ru: 0.9934 0.9758 0.9868
Ru: 0.2551 0.7643 0.5101
Ta: 0.5029 0.5095 0.0058
Au: 0.7486 0.2504 0.4973

Record 13
Computed, not measured: crystalline KSc2Fe at its relaxed geometry at the PBEsol level of DFT.

Results
D(E_F), states/eV per cell: 3.06
Total moment, μB/cell: 0.00
Formation enthalpy at 0 K, eV per atom: 0.3511

Unit cell a=3.3298 b=3.1912 c=10.1212 alpha=99.07 beta=99.47 gamma=90.00
Sites, in units of the cell vectors:
K: 0.1888 0.6888 0.3777
Sc: 0.0056 0.0056 0.0112
Sc: 0.8597 0.3597 0.7194
Fe: 0.4459 0.4459 0.8918

Record 14
Computed, not measured: crystalline SrZn2Cd at its relaxed geometry at the PBEsol level of DFT.

Results
D(E_F), states/eV per cell: 2.07
Total moment, μB/cell: 0.00
Formation enthalpy at 0 K, eV per atom: -0.1799

Unit cell a=4.4341 b=4.4341 c=6.1644 alpha=68.92 beta=68.92 gamma=60.00
Sites, in units of the cell vectors:
Zn: 0.0571 0.0571 0.8286
Zn: 0.7306 0.7306 0.8082
Sr: 0.2590 0.2590 0.2230
Cd: 0.4592 0.4592 0.6223

Record 15
Computed, not measured: crystalline Ca4MnZn at its relaxed geometry at the PBEsol level of DFT.

Results
D(E_F), states/eV per cell: 7.41
Total moment, μB/cell: 4.12
Formation enthalpy at 0 K, eV per atom: 0.7911

Unit cell a=6.4743 b=6.4743 c=6.4743 alpha=60.00 beta=60.00 gamma=60.00
Sites, in units of the cell vectors:
Ca: 0.3752 0.3752 0.8744
Ca: 0.3752 0.8744 0.3752
Ca: 0.8744 0.3752 0.3752
Ca: 0.3752 0.3752 0.3752
Mn: 0.7500 0.7500 0.7500
Zn: 0.0000 0.0000 0.0000

Record 16
Computed, not measured: crystalline Al3Re at its relaxed geometry at the PBEsol level of DFT.

Results
D(E_F), states/eV per cell: 0.97
Total moment, μB/cell: 0.00
Formation enthalpy at 0 K, eV per atom: -0.2170

Unit cell a=3.3041 b=3.3041 c=5.3727 alpha=90.00 beta=90.00 gamma=90.00
Sites, in units of the cell vectors:
Re: 0.5000 0.5000 0.5000
Al: 0.5000 0.5000 0.0000
Al: 0.0000 0.0000 0.2630
Al: 0.0000 0.0000 0.7370

Record 17
Computed, not measured: crystalline CrRe2Hg at its relaxed geometry at the PBEsol level of DFT.

Results
D(E_F), states/eV per cell: 3.98
Total moment, μB/cell: 0.00
Formation enthalpy at 0 K, eV per atom: 0.6775

Unit cell a=3.8354 b=3.8354 c=4.8446 alpha=113.32 beta=113.32 gamma=90.00
Sites, in units of the cell vectors:
Re: 0.7500 0.2500 0.5000
Re: 0.2500 0.7500 0.5000
Hg: 0.0000 0.0000 0.0000
Cr: 0.5000 0.5000 0.0000

Record 18
Computed, not measured: crystalline Os5Pt4 at its relaxed geometry at the PBEsol level of DFT.

Results
D(E_F), states/eV per cell: 5.77
Total moment, μB/cell: 0.00
Formation enthalpy at 0 K, eV per atom: 0.0758

Unit cell a=3.8411 b=6.1089 c=6.1089 alpha=84.33 beta=71.68 gamma=71.68
Sites, in units of the cell vectors:
Os: 0.6617 0.6766 0.0000
Os: 0.0000 0.0000 0.0000
Os: 0.3383 0.3234 0.0000
Os: 0.6617 0.0000 0.6766
Os: 0.3383 0.0000 0.3234
Pt: 0.0000 0.3249 0.6751
Pt: 0.3249 0.6751 0.6751
Pt: 0.6751 0.3249 0.3249
Pt: 0.0000 0.6751 0.3249

Record 19
Computed, not measured: crystalline LiNiH12S2O14 at its relaxed geometry at the PBEsol level of DFT.

Results
Total energy, eV/cell: -331.40
D(E_F), states/eV per cell: 0.46
Total moment, μB/cell: 2.00

Unit cell a=5.7033 b=8.6101 c=11.9083 alpha=90.00 beta=90.00 gamma=105.11
Sites, in units of the cell vectors:
Ni: 0.9709 0.7418 0.9998
Ni: 0.0291 0.2582 0.4998
H: 0.0573 0.1481 0.6876
H: 0.3118 0.7958 0.1362
H: 0.9427 0.8519 0.1876
H: 0.3175 0.9584 0.9087
H: 0.6882 0.2042 0.6362
H: 0.2914 0.6284 0.0574
H: 0.3719 0.4733 0.5895
H: 0.6628 0.7165 0.8522
H: 0.0734 0.0106 0.8784
H: 0.3426 0.1397 0.4416
H: 0.9667 0.9938 0.6019
H: 0.8728 0.4824 0.1315
H: 0.6825 0.0416 0.4087
H: 0.6574 0.8603 0.9416
H: 0.0196 0.6234 0.8126
H: 0.0333 0.0062 0.1019
H: 0.1272 0.5176 0.6315
H: 0.9804 0.3766 0.3126
H: 0.9266 0.9894 0.3784
H: 0.6281 0.5267 0.0895
H: 0.7086 0.3716 0.5574
H: 0.8692 0.4808 0.8949
H: 0.1308 0.5192 0.3949
H: 0.3372 0.2835 0.3522
S: 0.2802 0.8356 0.3492
S: 0.7724 0.6771 0.6396
S: 0.7198 0.1644 0.8492
S: 0.2276 0.3229 0.1396
O: 0.1409 0.9159 0.8890
O: 0.0085 0.5825 0.8934
O: 0.8124 0.8254 0.5712
O: 0.6182 0.0346 0.9315
O: 0.9915 0.4175 0.3934
O: 0.0092 0.8085 0.3408
O: 0.8591 0.0841 0.3890
O: 0.6610 0.5443 0.5568
O: 0.1876 0.1746 0.0712
O: 0.3390 0.4557 0.0568
O: 0.0773 0.1080 0.6108
O: 0.9908 0.1915 0.8408
O: 0.3912 0.8836 0.2385
O: 0.6020 0.6732 0.7324
O: 0.1987 0.4257 0.6122
O: 0.3980 0.3268 0.2324
O: 0.3818 0.9654 0.4315
O: 0.3405 0.6856 0.3884
O: 0.7318 0.2584 0.5576
O: 0.9227 0.8920 0.1108
O: 0.6088 0.1164 0.7385
O: 0.6595 0.3144 0.8884
O: 0.2682 0.7416 0.0576
O: 0.8013 0.5743 0.1122
O: 0.0054 0.6532 0.6818
O: 0.6776 0.7461 0.9366
O: 0.9946 0.3468 0.1818
O: 0.3224 0.2539 0.4366
Li: 0.3044 0.3059 0.9235
Li: 0.6956 0.6941 0.4235

Record 20
Computed, not measured: crystalline Sc2SbRu at its relaxed geometry at the PBEsol level of DFT.

Results
Total energy, eV/cell: -30.46
D(E_F), states/eV per cell: 1.08
Total moment, μB/cell: 0.00

Unit cell a=3.2060 b=3.2060 c=7.5446 alpha=90.00 beta=90.00 gamma=89.99
Sites, in units of the cell vectors:
Sc: 0.0000 0.0000 0.7037
Sc: 0.0000 0.0000 0.2963
Sb: 0.5000 0.5000 0.0000
Ru: 0.5000 0.5000 0.5000